A relaxed BeAlTe2 crystal. Source: Alexandria via LeMat-Bulk, functional GGA-PBE.

Output
Formation energy from raw total energies   322 meV per atom
Offset from the most stable computed form   412.0 meV/atom

a b c (Å): 3.1094 3.1094 9.5387
angles (deg): 90.00 90.00 90.00
With the nearest neighbours (Å) after each atom.
Fractional positions:
Be: 0.5000 0.5000 0.7133  4 Al 2.56
Te: 0.0000 0.0000 0.9066  4 Be 2.87, 4 Te 3.11, 1 Al 3.16
Te: 0.5000 0.5000 0.3045  4 Te 3.11, 4 Al 3.39
Al: 0.0000 0.0000 0.5755  4 Be 2.56